# 1
Below is Sc6InCo2 after structural relaxation, with properties calculated at the GGA-PBEsol level.

```
data_Sc6InCo2
_space_group_name_H-M_alt 'I m m m'
_space_group_IT_number 71
_space_group_name_Hall '-I 2 2'
_cell_length_a 8.705
_cell_length_b 8.746
_cell_length_c 9.201
_cell_angle_alpha 90.00
_cell_angle_beta 90.00
_cell_angle_gamma 90.00
loop_
_atom_site_label
_atom_site_fract_x
_atom_site_fract_y
_atom_site_fract_z
_atom_site_occupancy
Sc1 0.000 0.217 0.235 1
Sc2 0.202 0.500 0.187 1
Sc3 0.215 0.309 0.500 1
In1 0.000 0.000 0.000 1
In2 0.000 0.000 0.500 1
Co1 0.000 0.369 0.000 1
Co2 0.000 0.500 0.382 1
```

Computed properties:
- Energy of formation: -300 kJ/mol of formula units

# 2
Below is Mn2MoPt after structural relaxation, with properties calculated at the GGA-PBEsol level.

```
data_Mn2MoPt
_space_group_name_H-M_alt 'C m m m'
_space_group_IT_number 65
_space_group_name_Hall '-C 2 2'
_cell_length_a 5.381
_cell_length_b 7.281
_cell_length_c 2.647
_cell_angle_alpha 90.00
_cell_angle_beta 90.00
_cell_angle_gamma 90.00
loop_
_atom_site_label
_atom_site_fract_x
_atom_site_fract_y
_atom_site_fract_z
_atom_site_occupancy
Mn1 0.250 0.250 0.000 1
Mo1 0.000 0.000 0.500 1
Pt1 0.000 0.500 0.500 1
```

Computed properties:
- Energy of formation: 19 kJ/mol of formula units

# 3
Below is TlInAu after structural relaxation, with properties calculated at the GGA-PBEsol level.

```
data_TlInAu
_space_group_name_H-M_alt 'F -4 3 m'
_space_group_IT_number 216
_space_group_name_Hall 'F -4 2 3'
_cell_length_a 6.659
_cell_length_b 6.659
_cell_length_c 6.659
_cell_angle_alpha 90.00
_cell_angle_beta 90.00
_cell_angle_gamma 90.00
loop_
_atom_site_label
_atom_site_fract_x
_atom_site_fract_y
_atom_site_fract_z
_atom_site_occupancy
Tl1 0.000 0.000 0.000 1
In1 0.000 0.000 0.500 1
Au1 0.250 0.250 0.750 1
```

Computed properties:
- Energy of formation: -32 kJ/mol of formula units
- Polymorph energy (0 for the lowest one): 0 meV/atom

# 4
Below is Au5Cl after structural relaxation, with properties calculated at the GGA-PBEsol level.

```
data_Au5Cl
_space_group_name_H-M_alt 'P 4/m m m'
_space_group_IT_number 123
_space_group_name_Hall '-P 4 2'
_cell_length_a 3.120
_cell_length_b 3.120
_cell_length_c 10.804
_cell_angle_alpha 90.00
_cell_angle_beta 90.00
_cell_angle_gamma 90.00
loop_
_atom_site_label
_atom_site_fract_x
_atom_site_fract_y
_atom_site_fract_z
_atom_site_occupancy
Au1 0.000 0.000 0.000 1
Au2 0.000 0.000 0.321 1
Au3 0.500 0.500 0.160 1
Cl1 0.500 0.500 0.500 1
```

Computed properties:
- Raw formation energy: 0.13 eV per atom
- Polymorph energy (0 for the lowest one): 0 meV/atom

Q: What is the formula in the third record?
A: TlInAu